MgMn8O13F3 (PBE+U, relaxed); VASP energy = -6.891 eV/atom; M_tot = 29.000 μB per cell; space group = P1
1.0
5.693 0.000 0.000
-0.339 6.869 0.000
-0.241 -0.609 6.874
Mg Mn O F
1 8 13 3
Cartesian
0.000 0.000 0.000
1.176 -0.195 3.522
1.000 2.755 6.852
2.247 3.241 3.506
2.115 6.139 6.787
3.785 4.999 1.804
3.877 1.360 5.147
4.863 1.731 1.926
5.146 4.464 4.935
0.859 3.273 4.838
0.737 5.964 5.384
2.456 1.260 3.772
2.362 5.122 3.096
2.525 4.854 0.330
2.470 1.211 6.507
3.593 3.167 2.128
3.659 3.313 4.784
4.144 -0.007 1.259
5.197 1.097 3.673
5.196 1.406 6.770
5.237 5.185 3.160
5.435 4.793 0.027
0.906 2.940 2.067
1.210 0.243 1.507
3.779 6.031 5.397

MgMn6O5F7 (PBE+U, relaxed); VASP energy = -6.627 eV/atom; M_tot = 17.000 μB per cell; space group = P1
1.0
5.932 0.000 0.000
1.336 5.983 0.000
2.251 2.262 6.785
Mg Mn O F
1 6 5 7
Cartesian
0.000 0.000 0.000
4.407 6.243 4.459
3.645 4.926 1.340
5.600 3.002 5.730
4.822 1.937 2.565
6.169 2.936 0.004
7.551 4.024 3.559
3.270 5.024 3.195
5.467 7.715 6.246
4.629 3.344 1.179
5.844 3.057 3.812
7.465 3.824 5.583
1.417 4.325 1.381
2.863 2.102 3.383
4.401 4.764 5.994
4.003 0.430 0.922
6.304 6.087 3.579
8.586 6.964 5.636
6.558 1.263 1.351

MgMn6O5F7 (PBE+U, relaxed); VASP energy = -6.591 eV/atom; M_tot = 27.000 μB per cell; space group = C2
1.0
4.597 -3.652 0.000
4.597 3.652 0.000
-1.903 0.000 6.828
Mg Mn O F
1 6 5 7
Cartesian
0.000 0.000 0.000
1.184 1.497 5.763
2.647 1.507 2.323
4.645 1.507 4.505
6.108 1.497 1.065
4.597 -0.943 0.000
3.646 -2.428 3.414
3.646 2.743 3.414
3.882 1.649 0.888
3.410 1.649 5.940
3.525 -2.290 1.184
3.767 -2.290 5.645
1.170 1.450 3.670
1.555 0.035 1.282
1.241 -0.597 5.469
3.646 -0.103 3.414
6.122 1.450 3.159
6.051 -0.597 1.359
5.737 0.035 5.547

MgMn8O13F3 (PBE+U, relaxed); VASP energy = -6.904 eV/atom; M_tot = 29.000 μB per cell; space group = P1
1.0
5.676 0.000 0.000
-0.122 6.808 0.000
-0.240 -0.576 6.932
Mg Mn O F
1 8 13 3
Cartesian
0.000 0.000 0.000
-0.035 1.679 2.015
-0.062 4.470 5.025
1.037 4.889 1.807
1.332 1.121 5.113
2.593 6.085 6.847
2.827 3.076 3.574
3.869 2.730 6.928
4.105 -0.293 3.549
-0.073 -0.260 4.890
1.075 4.805 6.790
1.300 4.373 3.647
1.447 1.708 3.286
1.600 1.215 0.049
2.622 2.559 5.399
2.725 -0.161 4.936
4.166 1.637 3.252
4.335 1.385 0.431
4.160 4.515 3.759
4.056 4.688 6.521
5.507 3.450 1.383
5.462 6.537 2.094
-0.103 2.466 5.493
2.706 3.516 1.626
2.666 6.204 1.997